A plane-wave DFT calculation with PBE-GGA was carried out for a relaxed structure of Pm8ZnIn2.

Structure (extended XYZ):
```
11
Lattice="9.195 -2.695 0.000 9.195 2.695 0.000 -0.347 0.000 6.826" Properties=species:S:1:pos:R:3 pbc="T T T"
Pm 0.459 0.000 1.836
Pm 3.852 0.000 0.736
Pm 5.941 0.000 4.038
Pm 7.502 0.000 0.644
Pm 10.540 0.000 6.182
Pm 12.102 0.000 2.788
Pm 14.190 0.000 6.090
Pm 17.584 0.000 4.990
Zn 9.021 0.000 3.413
In 2.628 0.000 4.484
In 15.414 0.000 2.342
```

Output
ΔE_f: -226 meV/atom